VASP calculation (PBE) on NdNiAs after structural relaxation.

Cell: 4.1166 4.1166 8.1264 Å, 90.00 90.00 120.00°
Space group P6_3/mmc (No. 194)
Symmetry-distinct sites (fractional):
Nd  0.0000  0.0000  0.0000 (multiplicity 2)
Ni  0.3333  0.6667  0.2500 (multiplicity 2)
As  0.3333  0.6667  0.7500 (multiplicity 2)

Output
Calculated density = 7.74 g cm⁻³
Formation energy from the elements = -3.111 eV/f.u.

---

VASP calculation (PBE) on AcSc2Cu6 after structural relaxation.

Cell: 3.692 7.255 12.608 Å, 90.00 90.00 90.00°
Space group Immm (No. 71)
Symmetry-distinct sites (fractional):
Ac  0.000  0.000  0.000 (multiplicity 2)
Sc  0.000  0.500  0.138 (multiplicity 4)
Cu  0.000  0.166  0.500 (multiplicity 4)
Cu  0.000  0.286  0.315 (multiplicity 8)

Output
Calculated density = 6.87 g cm⁻³
Formation energy from the elements = -0.943 eV/f.u.

---

VASP calculation (PBE) on SrLi5Ag3 after structural relaxation.

Cell: 4.397 13.461 13.067 Å, 90.00 90.00 90.00°
Space group Cmcm (No. 63)
Symmetry-distinct sites (fractional):
Sr  0.000  0.152  0.250 (multiplicity 4)
Li  0.000  0.000  0.000 (multiplicity 4)
Li  0.000  0.201  0.550 (multiplicity 8)
Li  0.000  0.421  0.144 (multiplicity 8)
Ag  0.000  0.138  0.750 (multiplicity 4)
Ag  0.000  0.398  0.557 (multiplicity 8)

Output
Calculated density = 3.83 g cm⁻³
Formation energy from the elements = -1.345 eV/f.u.

---

VASP calculation (PBE) on LiMo2Cl after structural relaxation.

Cell: 14.529 3.204 3.273 Å, 90.00 101.08 90.00°
Space group C2/m (No. 12)
Symmetry-distinct sites (fractional):
Li  0.000  0.000  0.000 (multiplicity 2)
Mo  0.208  0.000  0.671 (multiplicity 4)
Cl  0.000  0.500  0.500 (multiplicity 2)

Output
Calculated density = 5.20 g cm⁻³
Raw formation energy = 35 meV per atom
ΔE to the lowest computed polymorph = 53 kJ/mol of formula units

---

VASP calculation (PBE) on NaSn2Pb9 after structural relaxation.

Cell: 5.975 5.975 10.369 Å, 90.00 90.00 90.00°
Space group P4/mmm (No. 123)
Symmetry-distinct sites (fractional):
Na  0.000  0.000  0.000 (multiplicity 1)
Sn  0.000  0.000  0.334 (multiplicity 2)
Pb  0.000  0.500  0.173 (multiplicity 4)
Pb  0.000  0.500  0.500 (multiplicity 2)
Pb  0.500  0.500  0.000 (multiplicity 1)
Pb  0.500  0.500  0.334 (multiplicity 2)

Output
Calculated density = 9.53 g cm⁻³
Formation energy from the elements = 0.193 eV/f.u.

---

VASP calculation (PBE) on TlCl after structural relaxation.

Cell: 6.506 6.506 6.506 Å, 90.00 90.00 90.00°
Space group Fm-3m (No. 225)
Symmetry-distinct sites (fractional):
Tl  0.000  0.000  0.000 (multiplicity 4)
Cl  0.000  0.000  0.500 (multiplicity 4)

Output
Calculated density = 5.79 g cm⁻³
Raw formation energy = -1015 meV per atom

---

VASP calculation (PBE) on Ba2InTe after structural relaxation.

Cell: 4.7832 4.7832 27.7787 Å, 90.00 90.00 120.00°
Space group R-3m (No. 166, hexagonal axes)
Symmetry-distinct sites (fractional):
Ba  0.0000  0.0000  0.2432 (multiplicity 6)
In  0.0000  0.0000  0.0000 (multiplicity 3)
Te  0.0000  0.0000  0.5000 (multiplicity 3)

Output
Calculated density = 4.68 g cm⁻³
Raw formation energy = -902 meV per atom
ΔE to the lowest computed polymorph = 11 kJ/mol of formula units

---

VASP calculation (PBE) on AlHgW2 after structural relaxation.

Cell: 9.575 2.794 5.109 Å, 90.00 96.41 90.00°
Space group Cm (No. 8)
Symmetry-distinct sites (fractional):
Al  0.000  0.000  0.000 (multiplicity 2)
Hg  0.245  0.000  0.768 (multiplicity 2)
W  0.240  0.500  0.265 (multiplicity 2)
W  0.495  0.000  0.483 (multiplicity 2)

Output
Calculated density = 14.55 g cm⁻³
Formation energy from the elements = 1.964 eV/f.u.
ΔE to the lowest computed polymorph = 59 kJ/mol of formula units